1.
The following is a DFT calculation (PBE) of Cu2MoP after structural relaxation.

Unit cell a=2.808 b=4.093 c=9.084 alpha=90.00 beta=90.00 gamma=90.00
Element x y z (fractional)
Cu1 0.000 0.000 0.225
Cu2 0.000 0.000 0.775
Cu3 0.500 0.500 0.275
Cu4 0.500 0.500 0.725
Mo1 0.000 0.500 0.000
Mo2 0.500 0.000 0.500
P1 0.000 0.500 0.500
P2 0.500 0.000 0.000

---

2.
The following is a DFT calculation (PBE) of Cu3MoP after structural relaxation.

Unit cell a=4.646 b=4.646 c=4.646 alpha=90.00 beta=90.00 gamma=90.00
Element x y z (fractional)
Cu1 0.000 0.000 0.500
Cu2 0.000 0.500 0.000
Cu3 0.500 0.000 0.000
Mo1 0.000 0.000 0.000
P1 0.500 0.500 0.500

The relative energy among the computed polymorphs is 1.0109 eV/atom.

---

3.
The following is a DFT calculation (PBE) of CuMoP2 after structural relaxation.

Unit cell a=5.550 b=7.852 c=3.042 alpha=90.00 beta=117.40 gamma=90.00
Element x y z (fractional)
Cu1 0.000 0.000 0.000
Cu2 0.500 0.500 0.000
Mo1 0.000 0.500 0.000
Mo2 0.500 0.000 0.000
P1 0.250 0.250 0.000
P2 0.250 0.750 0.000
P3 0.750 0.250 0.000
P4 0.750 0.750 0.000

---

DFT formation energy: 5; 1793; 253 (meV per atom)